# FeAsOsPt, relaxed, DFT PBE
# relative energy among the computed polymorphs = 0.000 eV per atom
data_FeAsOsPt
_cell_length_a 6.1450
_cell_length_b 6.1450
_cell_length_c 6.1450
_cell_angle_alpha 90.00
_cell_angle_beta 90.00
_cell_angle_gamma 90.00
_symmetry_space_group_name_H-M 'F -4 3 m'
_symmetry_Int_Tables_number 216
_symmetry_space_group_name_Hall 'F -4 2 3'
loop_
_atom_site_label
_atom_site_fract_x
_atom_site_fract_y
_atom_site_fract_z
_atom_site_occupancy
Fe1 0.0000 0.0000 0.0000 1
As1 0.2500 0.2500 0.7500 1
Os1 0.0000 0.0000 0.5000 1
Pt1 0.2500 0.2500 0.2500 1

---

# FeReAsOs, relaxed, DFT PBE
# relative energy among the computed polymorphs = 0.000 eV per atom
data_FeReAsOs
_cell_length_a 6.1047
_cell_length_b 6.1047
_cell_length_c 6.1047
_cell_angle_alpha 90.00
_cell_angle_beta 90.00
_cell_angle_gamma 90.00
_symmetry_space_group_name_H-M 'F -4 3 m'
_symmetry_Int_Tables_number 216
_symmetry_space_group_name_Hall 'F -4 2 3'
loop_
_atom_site_label
_atom_site_fract_x
_atom_site_fract_y
_atom_site_fract_z
_atom_site_occupancy
Fe1 0.0000 0.0000 0.0000 1
Re1 0.0000 0.0000 0.5000 1
As1 0.2500 0.2500 0.7500 1
Os1 0.2500 0.2500 0.2500 1

---

# ScFeAsOs, relaxed, DFT PBE
# relative energy among the computed polymorphs = 0.000 eV per atom
data_ScFeAsOs
_cell_length_a 6.0943
_cell_length_b 6.0943
_cell_length_c 6.0943
_cell_angle_alpha 90.00
_cell_angle_beta 90.00
_cell_angle_gamma 90.00
_symmetry_space_group_name_H-M 'F -4 3 m'
_symmetry_Int_Tables_number 216
_symmetry_space_group_name_Hall 'F -4 2 3'
loop_
_atom_site_label
_atom_site_fract_x
_atom_site_fract_y
_atom_site_fract_z
_atom_site_occupancy
Sc1 0.0000 0.0000 0.0000 1
Fe1 0.2500 0.2500 0.7500 1
As1 0.0000 0.0000 0.5000 1
Os1 0.2500 0.2500 0.2500 1

---

# ScFeAsOs, relaxed, DFT PBE
# relative energy among the computed polymorphs = 0.218 eV per atom
data_ScFeAsOs
_cell_length_a 6.3075
_cell_length_b 6.3075
_cell_length_c 6.3075
_cell_angle_alpha 90.00
_cell_angle_beta 90.00
_cell_angle_gamma 90.00
_symmetry_space_group_name_H-M 'F -4 3 m'
_symmetry_Int_Tables_number 216
_symmetry_space_group_name_Hall 'F -4 2 3'
loop_
_atom_site_label
_atom_site_fract_x
_atom_site_fract_y
_atom_site_fract_z
_atom_site_occupancy
Sc1 0.0000 0.0000 0.0000 1
Fe1 0.0000 0.0000 0.5000 1
As1 0.2500 0.2500 0.2500 1
Os1 0.2500 0.2500 0.7500 1

---

# FeTcAsOs, relaxed, DFT PBE
# relative energy among the computed polymorphs = 0.000 eV per atom
data_FeTcAsOs
_cell_length_a 6.0852
_cell_length_b 6.0852
_cell_length_c 6.0852
_cell_angle_alpha 90.00
_cell_angle_beta 90.00
_cell_angle_gamma 90.00
_symmetry_space_group_name_H-M 'F -4 3 m'
_symmetry_Int_Tables_number 216
_symmetry_space_group_name_Hall 'F -4 2 3'
loop_
_atom_site_label
_atom_site_fract_x
_atom_site_fract_y
_atom_site_fract_z
_atom_site_occupancy
Fe1 0.0000 0.0000 0.0000 1
Tc1 0.0000 0.0000 0.5000 1
As1 0.2500 0.2500 0.7500 1
Os1 0.2500 0.2500 0.2500 1

---

# YFeAsOs, relaxed, DFT PBE
# relative energy among the computed polymorphs = 0.000 eV per atom
data_YFeAsOs
_cell_length_a 6.3269
_cell_length_b 6.3269
_cell_length_c 6.3269
_cell_angle_alpha 90.00
_cell_angle_beta 90.00
_cell_angle_gamma 90.00
_symmetry_space_group_name_H-M 'F -4 3 m'
_symmetry_Int_Tables_number 216
_symmetry_space_group_name_Hall 'F -4 2 3'
loop_
_atom_site_label
_atom_site_fract_x
_atom_site_fract_y
_atom_site_fract_z
_atom_site_occupancy
Y1 0.0000 0.0000 0.0000 1
Fe1 0.2500 0.2500 0.7500 1
As1 0.0000 0.0000 0.5000 1
Os1 0.2500 0.2500 0.2500 1

---

# YFeAsOs, relaxed, DFT PBE
# relative energy among the computed polymorphs = 0.080 eV per atom
data_YFeAsOs
_cell_length_a 6.5628
_cell_length_b 6.5628
_cell_length_c 6.5628
_cell_angle_alpha 90.00
_cell_angle_beta 90.00
_cell_angle_gamma 90.00
_symmetry_space_group_name_H-M 'F -4 3 m'
_symmetry_Int_Tables_number 216
_symmetry_space_group_name_Hall 'F -4 2 3'
loop_
_atom_site_label
_atom_site_fract_x
_atom_site_fract_y
_atom_site_fract_z
_atom_site_occupancy
Y1 0.0000 0.0000 0.0000 1
Fe1 0.0000 0.0000 0.5000 1
As1 0.2500 0.2500 0.2500 1
Os1 0.2500 0.2500 0.7500 1

---

# Fe2AsP3, relaxed, DFT PBE
# E = -0.4922 Ry per atom
data_Fe2AsP3
_cell_length_a 5.0384
_cell_length_b 2.7591
_cell_length_c 5.7189
_cell_angle_alpha 90.00
_cell_angle_beta 90.79
_cell_angle_gamma 90.00
_symmetry_space_group_name_H-M 'P 1 m 1'
_symmetry_Int_Tables_number 6
loop_
_symmetry_equiv_pos_as_xyz
'x,y,z'
'x,-y,z'
loop_
_atom_site_label
_atom_site_fract_x
_atom_site_fract_y
_atom_site_fract_z
_atom_site_occupancy
Fe1 0.0000 0.0000 0.0000 1
Fe2 0.4832 0.5000 0.5145 1
As1 0.8255 0.0000 0.3758 1
P1 0.1759 0.0000 0.6496 1
P2 0.3244 0.5000 0.1403 1
P3 0.6663 0.5000 0.8772 1

---

# FeAs4P4, relaxed, DFT PBE
# E = -0.3957 Ry per atom
data_FeAs4P4
_cell_length_a 5.2807
_cell_length_b 5.3699
_cell_length_c 6.0813
_cell_angle_alpha 81.95
_cell_angle_beta 76.12
_cell_angle_gamma 71.89
_symmetry_space_group_name_H-M 'P 1'
_symmetry_Int_Tables_number 1
loop_
_symmetry_equiv_pos_as_xyz
'x,y,z'
loop_
_atom_site_label
_atom_site_fract_x
_atom_site_fract_y
_atom_site_fract_z
_atom_site_occupancy
Fe1 0.0000 0.0000 0.0000 1
As1 0.2507 0.3616 0.3974 1
As2 0.3340 0.6004 0.8791 1
As3 0.6887 0.7624 0.2170 1
As4 0.7936 0.0105 0.6783 1
P1 0.1924 0.9680 0.3045 1
P2 0.2920 0.2014 0.7858 1
P3 0.6710 0.3555 0.1156 1
P4 0.7398 0.6071 0.5986 1

---

# RbFe2AsP, relaxed, DFT PBE
# E = -0.4350 Ry per atom
data_RbFe2AsP
_cell_length_a 3.7492
_cell_length_b 3.7492
_cell_length_c 14.2083
_cell_angle_alpha 90.00
_cell_angle_beta 90.00
_cell_angle_gamma 90.00
_symmetry_space_group_name_H-M 'I 4 m m'
_symmetry_Int_Tables_number 107
_symmetry_space_group_name_Hall 'I 4 -2'
loop_
_atom_site_label
_atom_site_fract_x
_atom_site_fract_y
_atom_site_fract_z
_atom_site_occupancy
Rb1 0.0000 0.0000 0.0000 1
Fe1 0.0000 0.5000 0.2587 1
As1 0.0000 0.0000 0.6606 1
P1 0.0000 0.0000 0.3393 1

---

# Fe2Si2AsP3, relaxed, DFT PBE
# E = -0.4468 Ry per atom
data_Fe2Si2AsP3
_cell_length_a 11.3446
_cell_length_b 5.2395
_cell_length_c 5.3008
_cell_angle_alpha 90.00
_cell_angle_beta 117.38
_cell_angle_gamma 90.00
_symmetry_space_group_name_H-M 'C 1 2 1'
_symmetry_Int_Tables_number 5
loop_
_symmetry_equiv_pos_as_xyz
'x,y,z'
'-x,y,-z'
'x+1/2,y+1/2,z'
'-x+1/2,y+1/2,-z'
loop_
_atom_site_label
_atom_site_fract_x
_atom_site_fract_y
_atom_site_fract_z
_atom_site_occupancy
Fe1 0.1330 0.0000 0.3747 1
Si1 0.1271 0.4774 0.8859 1
As1 0.0000 0.7620 0.5000 1
P1 0.0000 0.2108 0.0000 1
P2 0.2484 0.7382 0.2614 1

---

# Fe2Si2As3P, relaxed, DFT PBE
# E = -0.4267 Ry per atom
data_Fe2Si2As3P
_cell_length_a 11.2025
_cell_length_b 5.9004
_cell_length_c 4.9534
_cell_angle_alpha 90.00
_cell_angle_beta 112.81
_cell_angle_gamma 90.00
_symmetry_space_group_name_H-M 'C 1 2 1'
_symmetry_Int_Tables_number 5
loop_
_symmetry_equiv_pos_as_xyz
'x,y,z'
'-x,y,-z'
'x+1/2,y+1/2,z'
'-x+1/2,y+1/2,-z'
loop_
_atom_site_label
_atom_site_fract_x
_atom_site_fract_y
_atom_site_fract_z
_atom_site_occupancy
Fe1 0.0942 0.0000 0.4257 1
Si1 0.1346 0.5097 0.8909 1
As1 0.0000 0.7757 0.0000 1
As2 0.2366 0.2434 0.2861 1
P1 0.0000 0.3078 0.5000 1

---

# SrFe2AsP, relaxed, DFT PBE
# E = -0.4676 Ry per atom
data_SrFe2AsP
_cell_length_a 3.8759
_cell_length_b 3.8759
_cell_length_c 11.4513
_cell_angle_alpha 90.00
_cell_angle_beta 90.00
_cell_angle_gamma 90.00
_symmetry_space_group_name_H-M 'I 4 m m'
_symmetry_Int_Tables_number 107
_symmetry_space_group_name_Hall 'I 4 -2'
loop_
_atom_site_label
_atom_site_fract_x
_atom_site_fract_y
_atom_site_fract_z
_atom_site_occupancy
Sr1 0.0000 0.0000 0.0000 1
Fe1 0.0000 0.5000 0.2593 1
As1 0.0000 0.0000 0.6486 1
P1 0.0000 0.0000 0.3481 1

---

# FeAs2Pd, relaxed, DFT PBE
# E = -0.3989 Ry per atom
data_FeAs2Pd
_cell_length_a 6.3616
_cell_length_b 6.3616
_cell_length_c 6.3616
_cell_angle_alpha 90.00
_cell_angle_beta 90.00
_cell_angle_gamma 90.00
_symmetry_space_group_name_H-M 'F -4 3 m'
_symmetry_Int_Tables_number 216
_symmetry_space_group_name_Hall 'F -4 2 3'
loop_
_atom_site_label
_atom_site_fract_x
_atom_site_fract_y
_atom_site_fract_z
_atom_site_occupancy
Fe1 0.0000 0.0000 0.0000 1
As1 0.0000 0.0000 0.5000 1
As2 0.2500 0.2500 0.2500 1
Pd1 0.2500 0.2500 0.7500 1

---

# FeAsPd2, relaxed, DFT PBE
# E = -0.4345 Ry per atom
data_FeAsPd2
_cell_length_a 6.1973
_cell_length_b 6.1973
_cell_length_c 6.1973
_cell_angle_alpha 90.00
_cell_angle_beta 90.00
_cell_angle_gamma 90.00
_symmetry_space_group_name_H-M 'F -4 3 m'
_symmetry_Int_Tables_number 216
_symmetry_space_group_name_Hall 'F -4 2 3'
loop_
_atom_site_label
_atom_site_fract_x
_atom_site_fract_y
_atom_site_fract_z
_atom_site_occupancy
Fe1 0.0000 0.0000 0.0000 1
As1 0.2500 0.2500 0.7500 1
Pd1 0.0000 0.0000 0.5000 1
Pd2 0.2500 0.2500 0.2500 1

---

# FeTcAsPd, relaxed, DFT PBE
# relative energy among the computed polymorphs = 0.000 eV per atom
data_FeTcAsPd
_cell_length_a 6.0918
_cell_length_b 6.0918
_cell_length_c 6.0918
_cell_angle_alpha 90.00
_cell_angle_beta 90.00
_cell_angle_gamma 90.00
_symmetry_space_group_name_H-M 'F -4 3 m'
_symmetry_Int_Tables_number 216
_symmetry_space_group_name_Hall 'F -4 2 3'
loop_
_atom_site_label
_atom_site_fract_x
_atom_site_fract_y
_atom_site_fract_z
_atom_site_occupancy
Fe1 0.0000 0.0000 0.0000 1
Tc1 0.0000 0.0000 0.5000 1
As1 0.2500 0.2500 0.7500 1
Pd1 0.2500 0.2500 0.2500 1

---

# FeAsPdW, relaxed, DFT PBE
# relative energy among the computed polymorphs = 0.238 eV per atom
data_FeAsPdW
_cell_length_a 6.2073
_cell_length_b 6.2073
_cell_length_c 6.2073
_cell_angle_alpha 90.00
_cell_angle_beta 90.00
_cell_angle_gamma 90.00
_symmetry_space_group_name_H-M 'F -4 3 m'
_symmetry_Int_Tables_number 216
_symmetry_space_group_name_Hall 'F -4 2 3'
loop_
_atom_site_label
_atom_site_fract_x
_atom_site_fract_y
_atom_site_fract_z
_atom_site_occupancy
Fe1 0.0000 0.0000 0.0000 1
As1 0.2500 0.2500 0.7500 1
Pd1 0.0000 0.0000 0.5000 1
W1 0.2500 0.2500 0.2500 1

---

# FeAsPdW, relaxed, DFT PBE
# relative energy among the computed polymorphs = 0.000 eV per atom
data_FeAsPdW
_cell_length_a 6.1517
_cell_length_b 6.1517
_cell_length_c 6.1517
_cell_angle_alpha 90.00
_cell_angle_beta 90.00
_cell_angle_gamma 90.00
_symmetry_space_group_name_H-M 'F -4 3 m'
_symmetry_Int_Tables_number 216
_symmetry_space_group_name_Hall 'F -4 2 3'
loop_
_atom_site_label
_atom_site_fract_x
_atom_site_fract_y
_atom_site_fract_z
_atom_site_occupancy
Fe1 0.0000 0.0000 0.0000 1
As1 0.2500 0.2500 0.7500 1
Pd1 0.2500 0.2500 0.2500 1
W1 0.0000 0.0000 0.5000 1

---

# YFeAsPd, relaxed, DFT PBE
# relative energy among the computed polymorphs = 0.000 eV per atom
data_YFeAsPd
_cell_length_a 6.6171
_cell_length_b 6.6171
_cell_length_c 6.6171
_cell_angle_alpha 90.00
_cell_angle_beta 90.00
_cell_angle_gamma 90.00
_symmetry_space_group_name_H-M 'F -4 3 m'
_symmetry_Int_Tables_number 216
_symmetry_space_group_name_Hall 'F -4 2 3'
loop_
_atom_site_label
_atom_site_fract_x
_atom_site_fract_y
_atom_site_fract_z
_atom_site_occupancy
Y1 0.0000 0.0000 0.0000 1
Fe1 0.0000 0.0000 0.5000 1
As1 0.2500 0.2500 0.2500 1
Pd1 0.2500 0.2500 0.7500 1

---

# YFeAsPd, relaxed, DFT PBE
# relative energy among the computed polymorphs = 0.103 eV per atom
data_YFeAsPd
_cell_length_a 6.5043
_cell_length_b 6.5043
_cell_length_c 6.5043
_cell_angle_alpha 90.00
_cell_angle_beta 90.00
_cell_angle_gamma 90.00
_symmetry_space_group_name_H-M 'F -4 3 m'
_symmetry_Int_Tables_number 216
_symmetry_space_group_name_Hall 'F -4 2 3'
loop_
_atom_site_label
_atom_site_fract_x
_atom_site_fract_y
_atom_site_fract_z
_atom_site_occupancy
Y1 0.0000 0.0000 0.0000 1
Fe1 0.2500 0.2500 0.7500 1
As1 0.0000 0.0000 0.5000 1
Pd1 0.2500 0.2500 0.2500 1

---

Calculated values (g cm⁻³) of density for the records, taken in order: 14.773 14.808 10.739 9.687 12.351 10.750 9.632 5.839 5.016 5.039 3.985 4.661 5.892 8.052 9.589 9.848 11.692 12.012 7.476 7.871.